Compound: Zr6TlSn3
Source: the Alexandria database
Functional: PBE-GGA
Structure: relaxed

The structure in POSCAR format:
```
Zr6TlSn3
1.0
-3.720 4.390 4.955
-6.588 -2.519 -2.715
0.133 -6.370 5.588
Zr Tl Sn
12 2 6
Direct
0.645 0.155 0.944
0.653 0.149 0.557
0.796 0.381 0.251
0.204 0.619 0.749
0.347 0.851 0.443
0.355 0.845 0.056
0.145 0.345 0.444
0.153 0.351 0.057
0.296 0.119 0.751
0.704 0.881 0.249
0.847 0.649 0.943
0.855 0.655 0.556
0.500 0.500 0.500
0.000 0.000 0.000
0.561 0.828 0.749
0.500 0.500 0.000
0.439 0.172 0.251
0.061 0.672 0.249
0.000 0.000 0.500
0.939 0.328 0.751
```

Output
DOS(E_F) in states/eV/f.u.: 8.8
Energy relative to the elements in eV/atom: -0.17
DFT total energy in eV/atom: -6.735
Space-group type: No. 14
Volume in Å³/atom: 24.32
Magnetization in μB per formula unit: 0.00

Compound: Tm4Sn3
Source: the Alexandria database
Functional: PBE-GGA
Structure: relaxed

The structure in POSCAR format:
```
Tm4Sn3
1.0
-1.457 -3.890 0.532
0.976 -0.908 -3.969
10.290 -0.923 4.949
Tm Sn
4 3
Direct
0.158 0.158 0.316
0.432 0.432 0.863
0.568 0.568 0.137
0.842 0.842 0.684
0.000 0.000 0.000
0.299 0.299 0.598
0.701 0.701 0.402
```

Output
DOS(E_F) in states/eV/f.u.: 5.7
Energy relative to the elements in eV/atom: -0.39
DFT total energy in eV/atom: -4.665
Offset from the most stable computed form in kJ/mol of formula units: 198
Space-group type: No. 139
Volume in Å³/atom: 27.72
Magnetization in μB per formula unit: 0.00

Compound: TmSn4
Source: the Alexandria database
Functional: PBE-GGA
Structure: relaxed

The structure in POSCAR format:
```
TmSn4
1.0
5.683 0.000 0.000
0.000 5.683 0.000
0.000 0.000 5.683
Tm Sn
1 4
Direct
0.500 0.500 0.500
0.000 0.000 0.000
0.500 0.000 0.500
0.000 0.500 0.500
0.500 0.500 0.000
```

Output
DOS(E_F) in states/eV/f.u.: 3.1
Energy relative to the elements in eV/atom: 0.47
DFT total energy in eV/atom: -3.625
Offset from the most stable computed form in kJ/mol of formula units: 355
Space-group type: No. 221
Volume in Å³/atom: 36.71
Magnetization in μB per formula unit: 0.00

Compound: TmSn4
Source: the Alexandria database
Functional: PBE-GGA
Structure: relaxed

The structure in POSCAR format:
```
TmSn4
1.0
5.891 0.000 0.000
0.000 5.780 -0.495
0.000 -2.488 8.102
Tm Sn
2 8
Direct
0.000 0.000 0.000
0.500 0.000 0.500
0.466 0.801 0.085
0.966 0.199 0.415
0.534 0.199 0.915
0.034 0.801 0.585
0.602 0.599 0.691
0.102 0.401 0.809
0.398 0.401 0.309
0.898 0.599 0.191
```

Output
DOS(E_F) in states/eV/f.u.: 2.4
Energy relative to the elements in eV/atom: -0.20
DFT total energy in eV/atom: -4.293
Offset from the most stable computed form in kJ/mol of formula units: 33
Space-group type: No. 14
Volume in Å³/atom: 26.86
Magnetization in μB per formula unit: 0.00

Compound: TmSn4
Source: the Alexandria database
Functional: PBE-GGA
Structure: relaxed

The structure in POSCAR format:
```
TmSn4
1.0
-0.833 -4.474 -0.276
2.699 -0.857 5.748
-9.055 3.931 1.266
Tm Sn
2 8
Direct
0.911 0.161 0.823
0.089 0.839 0.177
0.097 0.347 0.194
0.903 0.653 0.806
0.500 0.000 0.000
0.500 0.500 0.000
0.691 0.194 0.382
0.309 0.806 0.618
0.309 0.311 0.618
0.691 0.689 0.382
```

Output
DOS(E_F) in states/eV/f.u.: 2.4
Energy relative to the elements in eV/atom: -0.27
DFT total energy in eV/atom: -4.362
Offset from the most stable computed form in kJ/mol of formula units: 0
Space-group type: No. 74
Volume in Å³/atom: 26.71
Magnetization in μB per formula unit: 0.00

Compound: Tm3Sn5
Source: the Alexandria database
Functional: PBE-GGA
Structure: relaxed

The structure in POSCAR format:
```
Tm3Sn5
1.0
4.571 0.000 0.000
0.000 6.688 -0.708
0.000 0.144 6.724
Tm Sn
3 5
Direct
0.000 0.500 0.500
0.500 0.779 0.221
0.500 0.221 0.779
0.000 0.000 0.000
0.000 0.000 0.500
0.000 0.500 0.000
0.500 0.269 0.269
0.500 0.731 0.731
```

Output
DOS(E_F) in states/eV/f.u.: 4.7
Energy relative to the elements in eV/atom: -0.49
DFT total energy in eV/atom: -4.670
Space-group type: No. 65
Volume in Å³/atom: 25.75
Magnetization in μB per formula unit: 0.00

Compound: Tm2Sn3
Source: the Alexandria database
Functional: PBE-GGA
Structure: relaxed

The structure in POSCAR format:
```
Tm2Sn3
1.0
4.442 0.000 0.000
0.000 7.610 0.000
0.000 0.000 7.610
Tm Sn
4 6
Direct
0.500 0.694 0.857
0.500 0.143 0.694
0.500 0.857 0.306
0.500 0.306 0.143
0.000 0.396 0.826
0.000 0.826 0.604
0.000 0.604 0.174
0.000 0.174 0.396
0.500 0.500 0.500
0.000 0.000 0.000
```

Output
DOS(E_F) in states/eV/f.u.: 3.2
Energy relative to the elements in eV/atom: -0.56
DFT total energy in eV/atom: -4.753
Space-group type: No. 83
Volume in Å³/atom: 25.73
Magnetization in μB per formula unit: 0.00

Compound: TmSn6
Source: the Alexandria database
Functional: PBE-GGA
Structure: relaxed

The structure in POSCAR format:
```
TmSn6
1.0
-4.897 2.847 4.122
-2.809 -5.266 -3.668
5.245 -2.443 3.949
Tm Sn
1 6
Direct
0.000 0.000 0.000
0.250 0.750 0.500
0.500 0.750 0.250
0.250 0.500 0.750
0.750 0.250 0.500
0.500 0.250 0.750
0.750 0.500 0.250
```

Output
DOS(E_F) in states/eV/f.u.: 6.0
Energy relative to the elements in eV/atom: 0.41
DFT total energy in eV/atom: -3.663
Space-group type: No. 229
Volume in Å³/atom: 37.81
Magnetization in μB per formula unit: 0.00

Compound: Tm6Sn5
Source: the Alexandria database
Functional: PBE-GGA
Structure: relaxed

The structure in POSCAR format:
```
Tm6Sn5
1.0
4.799 0.000 1.336
2.399 7.571 0.668
2.633 0.000 9.080
Tm Sn
6 5
Direct
0.759 0.000 0.742
0.241 0.000 0.258
0.405 0.663 0.763
0.932 0.663 0.237
0.595 0.337 0.237
0.068 0.337 0.763
0.500 0.000 0.500
0.351 0.297 0.000
0.649 0.703 0.000
0.172 0.656 0.500
0.828 0.344 0.500
```

Output
DOS(E_F) in states/eV/f.u.: 7.2
Energy relative to the elements in eV/atom: -0.50
DFT total energy in eV/atom: -4.760
Space-group type: No. 12
Volume in Å³/atom: 27.57
Magnetization in μB per formula unit: 0.00

Compound: Tm4Sn3
Source: the Alexandria database
Functional: PBE-GGA
Structure: relaxed

The structure in POSCAR format:
```
Tm4Sn3
1.0
7.484 0.000 -2.646
-3.742 6.481 -2.646
0.000 0.000 7.938
Tm Sn
8 6
Direct
0.357 0.500 0.000
0.500 0.357 0.500
0.000 0.000 0.357
0.643 0.143 0.143
0.000 0.000 0.857
0.143 0.643 0.643
0.857 0.500 0.000
0.500 0.857 0.500
0.125 0.375 0.250
0.625 0.750 0.875
0.875 0.250 0.625
0.250 0.875 0.125
0.750 0.625 0.375
0.375 0.125 0.750
```

Output
DOS(E_F) in states/eV/f.u.: 0.7
Energy relative to the elements in eV/atom: -0.69
DFT total energy in eV/atom: -4.959
Offset from the most stable computed form in kJ/mol of formula units: 0
Space-group type: No. 220
Volume in Å³/atom: 27.51
Magnetization in μB per formula unit: 0.00

Compound: TmUSn6
Source: the Alexandria database
Functional: PBE-GGA
Structure: relaxed

The structure in POSCAR format:
```
TmUSn6
1.0
-4.234 0.878 -1.729
1.301 -1.792 -4.097
-2.882 -8.435 2.775
Tm U Sn
1 1 6
Direct
0.000 0.000 0.000
0.000 0.000 0.500
0.500 0.500 0.000
0.500 0.500 0.500
0.500 0.000 0.251
0.500 0.000 0.749
0.000 0.500 0.251
0.000 0.500 0.749
```

Output
DOS(E_F) in states/eV/f.u.: 10.0
Energy relative to the elements in eV/atom: -0.24
DFT total energy in eV/atom: -5.214
Space-group type: No. 123
Volume in Å³/atom: 25.31
Magnetization in μB per formula unit: 2.52

Compound: YTmSn2
Source: the Alexandria database
Functional: PBE-GGA
Structure: relaxed

The structure in POSCAR format:
```
YTmSn2
1.0
3.462 0.000 0.000
0.000 3.462 0.000
0.000 0.000 8.741
Y Tm Sn
1 1 2
Direct
0.500 0.500 0.000
0.500 0.500 0.500
0.000 0.000 0.747
0.000 0.000 0.253
```

Output
DOS(E_F) in states/eV/f.u.: 3.1
Energy relative to the elements in eV/atom: -0.61
DFT total energy in eV/atom: -5.347
Space-group type: No. 123
Volume in Å³/atom: 26.20
Magnetization in μB per formula unit: 0.00